Here is a relaxed structure of Dy2TmSb2 from the Alexandria database. Energies are from GGA-PBE.

Total DFT energy (no corrections) (eV per atom): -5.21
Magnetic moment (μB/f.u.): 0.0
ρ (g cm⁻³): 8.8

```
10
Lattice="4.835 0.000 0.000 0.000 6.319 0.000 -2.418 0.000 9.133" Properties=species:S:1:pos:R:3 pbc="T T T"
Tm 2.418 3.024 1.857
Tm 0.000 6.183 7.276
Sb 2.418 6.177 1.422
Sb 0.000 3.018 7.711
Sb 2.418 6.160 5.564
Sb 0.000 3.000 3.569
Dy 2.418 3.002 5.621
Dy 0.000 6.161 3.512
Dy 0.000 1.442 0.010
Dy 2.418 4.602 9.123
```

---

Here is a relaxed structure of Dy8TmSb6 from the Alexandria database. Energies are from GGA-PBE.

Total DFT energy (no corrections) (eV per atom): -5.14
Magnetic moment (μB/f.u.): 0.0
ρ (g cm⁻³): 8.0

```
15
Lattice="7.901 0.000 0.000 3.951 6.843 0.000 3.951 2.281 8.458" Properties=species:S:1:pos:R:3 pbc="T T T"
Sb 9.238 6.838 1.674
Sb 5.261 4.582 1.674
Sb 9.204 2.266 1.674
Sb 6.598 6.858 6.784
Sb 6.564 2.286 6.784
Sb 10.541 4.542 6.784
Dy 9.233 6.831 5.370
Dy 6.602 6.849 3.088
Dy 10.532 4.543 3.088
Dy 5.270 4.580 5.370
Dy 9.200 2.274 5.370
Dy 11.852 6.843 8.455
Dy 6.570 2.293 3.088
Dy 3.951 2.281 0.003
Tm 0.000 0.000 0.000
```

---

Here is a relaxed structure of Dy3Tm4Sb4 from the Alexandria database. Energies are from GGA-PBE.

Total DFT energy (no corrections) (eV per atom): -5.11
Magnetic moment (μB/f.u.): 0.0
ρ (g cm⁻³): 8.8

```
11
Lattice="-3.285 -0.918 2.185 5.090 -5.252 5.448 0.579 9.726 1.201" Properties=species:S:1:pos:R:3 pbc="T T T"
Dy 2.545 -2.626 2.724
Dy 2.082 2.200 7.809
Dy 0.303 1.356 1.025
Sb -0.594 -1.540 2.214
Sb -0.933 2.722 3.496
Sb 3.317 0.834 5.338
Sb 2.400 -4.629 5.419
Tm 1.930 3.413 4.336
Tm 0.454 0.143 4.498
Tm 2.354 -1.817 6.531
Tm 0.030 5.373 2.302
```

---

Here is a relaxed structure of Dy2TmSb from the Alexandria database. Energies are from GGA-PBE.

Magnetic moment (μB/f.u.): 1.0
E above lowest polymorph (meV per atom): 266
ρ (g cm⁻³): 7.9

```
4
Lattice="-1.178 2.946 2.354 -3.313 1.985 -0.828 -6.552 -4.593 5.784" Properties=species:S:1:pos:R:3 pbc="T T T"
Dy -8.515 -0.033 5.725
Dy -2.528 0.372 1.585
Tm -5.521 0.169 3.655
Sb 0.000 0.000 0.000
```

---

Here is a relaxed structure of Dy3TmSb3 from the Alexandria database. Energies are from GGA-PBE.

Magnetic moment (μB/f.u.): 0.0
E above lowest polymorph (meV per atom): 0
ρ (g cm⁻³): 8.8

```
28
Lattice="-1.457 8.556 2.940 -6.435 -3.073 5.755 6.359 -1.150 6.497" Properties=species:S:1:pos:R:3 pbc="T T T"
Tm 2.098 -2.200 9.535
Tm 1.824 7.045 6.870
Tm -6.333 1.973 7.495
Tm -0.654 1.849 6.483
Sb -1.832 -0.745 4.862
Sb 0.326 7.185 4.213
Sb -2.557 1.422 12.478
Sb -5.986 -0.527 5.777
Sb 1.230 3.365 12.306
Sb -1.521 3.379 3.717
Sb 2.013 1.156 4.707
Sb 3.933 -1.773 7.132
Sb -3.160 1.544 8.199
Sb 0.998 0.806 8.829
Sb -2.315 5.517 11.334
Sb -0.321 4.674 7.593
Dy 1.443 4.173 4.874
Dy -3.510 4.582 8.411
Dy 2.168 3.864 9.188
Dy 3.627 1.276 7.316
Dy -1.037 2.933 10.282
Dy -1.423 4.027 14.116
Dy -0.272 0.771 2.701
Dy -3.848 1.837 5.007
Dy -3.499 -1.388 7.357
Dy -2.154 5.847 5.429
Dy -1.450 -0.549 10.082
Dy 0.765 -1.369 6.386
```

---

Here is a relaxed structure of Dy5Tm3Sb8 from the Alexandria database. Energies are from GGA-PBE.

Total DFT energy (no corrections) (eV per atom): -5.44
Magnetic moment (μB/f.u.): 0.0
ρ (g cm⁻³): 8.1

```
16
Lattice="-4.547 0.420 -7.445 0.869 -6.279 -6.008 -6.544 -5.600 -1.442" Properties=species:S:1:pos:R:3 pbc="T T T"
Sb -5.812 -5.652 -4.442
Sb -2.573 -2.877 -3.714
Sb -4.846 -2.653 -7.436
Sb -7.649 -8.582 -11.182
Sb -2.126 -6.018 -6.714
Sb -8.096 -5.441 -8.182
Sb -4.410 -5.807 -10.454
Sb -5.376 -8.806 -7.460
Tm -3.272 -2.800 -0.721
Tm -5.545 -2.590 -4.444
Tm -2.837 -5.940 -3.725
Dy -2.273 0.210 -3.723
Dy 0.435 -3.140 -3.004
Dy -1.839 -2.929 -6.727
Dy -5.111 -5.729 -7.448
Dy 0.000 0.000 0.000
```